# 1
VASP calculation (GGA-PBE) on a relaxed UICl2 crystal.

Computed properties:
Spin magnetization in μB per cell: 12.00
Formation energy from raw total energies in meV/atom: -1375
Energy above the lowest structure with this stoichiometry in meV per atom: 0.0

a b c (Å): 4.021 15.149 8.752
angles (deg): 90.00 90.00 90.00
Space group Cmcm (No. 63)
Symmetry-distinct sites (fractional):
U1 0.000 0.235 0.250 [4 per cell]
I1 0.000 0.422 0.750 [4 per cell]
Cl1 0.000 0.173 0.572 [8 per cell]

=====

# 2
VASP calculation (GGA-PBE) on a relaxed ReSi2Pt crystal.

Computed properties:
Spin magnetization in μB per cell: 0.00
Formation energy from raw total energies in meV/atom: 381
Energy above the lowest structure with this stoichiometry in meV per atom: 732.3

a b c (Å): 6.186 6.186 6.186
angles (deg): 90.00 90.00 90.00
Space group F-43m (No. 216)
Symmetry-distinct sites (fractional):
Re1 0.000 0.000 0.000 [4 per cell]
Si1 0.000 0.000 0.500 [4 per cell]
Si2 0.250 0.250 0.250 [4 per cell]
Pt1 0.250 0.250 0.750 [4 per cell]